Computed, not measured: crystalline Si3IF at its relaxed geometry at the PBE-GGA level of DFT.

Cell lengths 4.669, 4.669, 4.669 Å; angles 90.00, 90.00, 90.00 degrees
Atoms (fractional coordinates):
I1 0.500 0.500 0.500
Si1 0.000 0.500 0.000
Si2 0.000 0.000 0.500
F1 0.000 0.000 0.000
Si3 0.500 0.000 0.000

Values from the calculation:
Space group: No. 221

=====

Computed, not measured: crystalline MnTcRh3 at its relaxed geometry at the PBE-GGA level of DFT.

Cell lengths 4.416, 4.416, 4.416 Å; angles 90.00, 90.00, 90.00 degrees
Atoms (fractional coordinates):
Rh1 0.000 0.000 0.500
Mn1 0.000 0.000 0.000
Tc1 0.500 0.500 0.500
Rh2 0.000 0.500 0.000
Rh3 0.500 0.000 0.000

Values from the calculation:
ΔE_f (meV per atom): 1211
Space group: No. 221

=====

Computed, not measured: crystalline BaSr at its relaxed geometry at the PBE-GGA level of DFT.

Cell lengths 4.353, 4.353, 14.310 Å; angles 90.00, 90.00, 120.00 degrees
Atoms (fractional coordinates):
Ba1 0.667 0.333 0.750
Ba2 0.333 0.667 0.250
Sr1 0.000 0.000 0.000
Sr2 0.000 0.000 0.500

Values from the calculation:
ΔE_f (meV per atom): 9
Space group: No. 194

=====

no.,ΔE to the lowest computed polymorph (meV per atom),uncorrected energy (eV per atom)
1,0.0,-3.2299
2,36.1,-7.1071
3,9.4,-1.7931